Here is an optimized crystal structure of NdBPO from OQMD via LeMat-Bulk. Energies are from PBE.

Summary:
- ρ: 5.57 Mg/m³
- E_tot: -5.46 eV/atom
- Relative energy among the computed polymorphs: 1381 meV/atom

CIF file:
```
data_NdBPO
_chemical_formula_sum 'Nd2 B2 P2 O2'
_cell_length_a 4.884
_cell_length_b 4.884
_cell_length_c 5.054
_cell_angle_alpha 90.00
_cell_angle_beta 90.00
_cell_angle_gamma 90.00
_symmetry_space_group_name_H-M 'P 4/n m m'
_symmetry_Int_Tables_number 129
loop_
_symmetry_equiv_pos_as_xyz
'x,y,z'
'-x,-y,-z'
'-y+1/2,x,z'
'y+1/2,-x,-z'
'-x+1/2,-y+1/2,z'
'x+1/2,y+1/2,-z'
'y,-x+1/2,z'
'-y,x+1/2,-z'
'x+1/2,-y,-z'
'-x+1/2,y,z'
'-y,-x,-z'
'y,x,z'
'-x,y+1/2,-z'
'x,-y+1/2,z'
'y+1/2,x+1/2,-z'
'-y+1/2,-x+1/2,z'
loop_
_atom_site_label
_atom_site_type_symbol
_atom_site_fract_x
_atom_site_fract_y
_atom_site_fract_z
Nd1 Nd 0.250 0.750 0.000
B1 B 0.250 0.250 0.341
P1 P 0.250 0.250 0.703
O1 O 0.250 0.750 0.500
```